1.
## LiZr2Tl (PBE)

Data for LiZr2Tl after structural relaxation.

Computed properties:
The calculation puts the energy relative to the elements at 32 meV/atom.

a = 10.2001 Å, b = 10.2001 Å, c = 10.2001 Å
α = 18.50°, β = 18.50°, γ = 18.50°
Fractional coordinates of all 4 atoms:
Li 0.0000 0.0000 0.0000
Zr 0.5026 0.5026 0.5026
Zr 0.7555 0.7555 0.7555
Tl 0.2569 0.2569 0.2569



2.
## YAlCr2 (PBE)

Data for YAlCr2 after structural relaxation.

Computed properties:
The calculation puts the energy relative to the elements at 391 meV/atom.

a = 4.7686 Å, b = 4.7686 Å, c = 5.3420 Å
α = 101.97°, β = 101.97°, γ = 37.34°
Fractional coordinates of all 4 atoms:
Y 0.0000 0.0000 0.0000
Al 0.5000 0.5000 0.5000
Cr 0.2350 0.2350 0.6903
Cr 0.7650 0.7650 0.3097



3.
## ZrWBr2 (PBE)

Data for ZrWBr2 after structural relaxation.

Computed properties:
As for the distance to the lowest polymorph of the same formula: 49 meV/atom. The calculation puts the uncorrected formation energy at -0.02 eV/atom.

a = 7.6330 Å, b = 7.6330 Å, c = 4.5580 Å
α = 93.09°, β = 93.09°, γ = 25.01°
Fractional coordinates of all 4 atoms:
Zr 0.0000 0.0000 0.0000
W 0.5000 0.5000 0.5000
Br 0.3553 0.3553 0.7785
Br 0.6447 0.6447 0.2215



4.
## YTcHg2 (PBE)

Data for YTcHg2 after structural relaxation.

Computed properties:
As for the distance to the lowest polymorph of the same formula: 86 meV/atom. The calculation puts the energy relative to the elements at 147 meV/atom.

a = 3.2554 Å, b = 4.2139 Å, c = 6.0861 Å
α = 90.00°, β = 90.25°, γ = 90.00°
Fractional coordinates of all 4 atoms:
Y 0.0000 0.0000 0.0000
Tc 0.0000 0.0000 0.5000
Hg 0.4985 0.5000 0.7303
Hg 0.5015 0.5000 0.2697



5.
## PmDy2Sn3 (PBE)

Data for PmDy2Sn3 after structural relaxation.

Computed properties:
The calculation puts the energy relative to the elements at -627 meV/atom.

a = 8.4843 Å, b = 8.4843 Å, c = 5.8000 Å
α = 103.64°, β = 103.64°, γ = 114.29°
Fractional coordinates of all 12 atoms:
Pm 0.0826 0.9174 0.7500
Pm 0.9174 0.0826 0.2500
Dy 0.2493 0.7507 0.2500
Dy 0.4166 0.5834 0.7500
Dy 0.5834 0.4166 0.2500
Dy 0.7507 0.2493 0.7500
Sn 0.0000 0.5000 0.5000
Sn 0.1687 0.3394 0.9945
Sn 0.3394 0.1687 0.4945
Sn 0.5000 0.0000 0.0000
Sn 0.6606 0.8313 0.5055
Sn 0.8313 0.6606 0.0055



6.
## Tm6Pd2Ru (PBE)

Data for Tm6Pd2Ru after structural relaxation.

Computed properties:
The calculation puts the energy relative to the elements at -529 meV/atom.

a = 6.4216 Å, b = 7.3493 Å, c = 11.4436 Å
α = 90.00°, β = 122.41°, γ = 90.00°
Fractional coordinates of all 18 atoms:
Tm 0.0984 0.0373 0.2465
Tm 0.0984 0.4627 0.7465
Tm 0.2204 0.6782 0.0678
Tm 0.2204 0.8218 0.5678
Tm 0.3911 0.1765 0.0618
Tm 0.3911 0.3235 0.5618
Tm 0.6089 0.6765 0.4382
Tm 0.6089 0.8235 0.9382
Tm 0.7796 0.1782 0.4322
Tm 0.7796 0.3218 0.9322
Tm 0.9016 0.5373 0.2535
Tm 0.9016 0.9627 0.7535
Pd 0.3141 0.1185 0.7558
Pd 0.3141 0.3815 0.2558
Pd 0.6859 0.6185 0.7442
Pd 0.6859 0.8815 0.2442
Ru 0.5000 0.0000 0.5000
Ru 0.5000 0.5000 0.0000



7.
## BeVInB2 (PBE)

Data for BeVInB2 after structural relaxation.

Computed properties:
The calculation puts the energy relative to the elements at 1191 meV/atom.

a = 4.0647 Å, b = 4.0647 Å, c = 4.2918 Å
α = 90.00°, β = 90.00°, γ = 90.00°
Fractional coordinates of all 5 atoms:
Be 0.0000 0.0000 0.0000
V 0.0000 0.0000 0.5000
In 0.5000 0.5000 0.0000
B 0.0000 0.5000 0.5000
B 0.5000 0.0000 0.5000



8.
## Pa2NbZn (PBE)

Data for Pa2NbZn after structural relaxation.

Computed properties:
As for the distance to the lowest polymorph of the same formula: 0 meV/atom. The calculation puts the energy relative to the elements at 81 meV/atom.

a = 4.2739 Å, b = 4.2739 Å, c = 4.6166 Å
α = 90.00°, β = 90.00°, γ = 90.00°
Fractional coordinates of all 4 atoms:
Pa 0.0000 0.5000 0.0000
Pa 0.5000 0.0000 0.0000
Nb 0.0000 0.0000 0.5000
Zn 0.5000 0.5000 0.5000



9.
## CrCoP2 (PBE)

Data for CrCoP2 after structural relaxation.

Computed properties:
As for the distance to the lowest polymorph of the same formula: 282 meV/atom. The calculation puts the energy relative to the elements at -61 meV/atom.

a = 4.8949 Å, b = 4.8949 Å, c = 4.8949 Å
α = 140.47°, β = 140.47°, γ = 57.14°
Fractional coordinates of all 4 atoms:
Cr 0.0000 0.0000 0.0000
Co 0.7500 0.2500 0.5000
P 0.2500 0.7500 0.5000
P 0.5000 0.5000 0.0000



10.
## MgPb3 (PBE)

Data for MgPb3 after structural relaxation.

Computed properties:
The calculation puts the energy relative to the elements at 81 meV/atom.

a = 6.3829 Å, b = 6.3829 Å, c = 6.0920 Å
α = 90.00°, β = 90.00°, γ = 81.16°
Fractional coordinates of all 8 atoms:
Mg 0.0789 0.9211 0.7500
Mg 0.9211 0.0789 0.2500
Pb 0.0476 0.5871 0.2500
Pb 0.4129 0.9524 0.2500
Pb 0.4373 0.5627 0.7500
Pb 0.5627 0.4373 0.2500
Pb 0.5871 0.0476 0.7500
Pb 0.9524 0.4129 0.7500



11.
## Sb2TeSe (PBE)

Data for Sb2TeSe after structural relaxation.

Computed properties:
As for the distance to the lowest polymorph of the same formula: 265 meV/atom. The calculation puts the uncorrected formation energy at 0.23 eV/atom.

a = 3.6442 Å, b = 3.6442 Å, c = 9.9370 Å
α = 90.00°, β = 90.00°, γ = 117.85°
Fractional coordinates of all 4 atoms:
Sb 0.0000 0.0000 0.0000
Sb 0.5000 0.5000 0.3081
Te 0.0000 0.0000 0.5321
Se 0.5000 0.5000 0.8068



12.
## SrZnSi2 (PBE)

Data for SrZnSi2 after structural relaxation.

Computed properties:
The calculation puts the uncorrected formation energy at -0.02 eV/atom.

a = 3.5758 Å, b = 3.5758 Å, c = 6.5860 Å
α = 90.00°, β = 90.00°, γ = 90.00°
Fractional coordinates of all 4 atoms:
Sr 0.0000 0.0000 0.0000
Zn 0.0000 0.0000 0.5000
Si 0.5000 0.5000 0.3237
Si 0.5000 0.5000 0.6763